Record 1
The following is a DFT calculation (meta-GGA SCAN) of a crystal of Al2P4Pb relaxed with PBEsol.

Properties
- Magnetic moment: 0.0 μB/f.u.
- Space group: No. 9
- DFT formation energy: -0.16 eV/atom
- Electronic total energy: -0.7034 hartree per atom

The structure in POSCAR format:
```
Al2P4Pb
1.0
-6.085 2.032 -1.954
0.973 -6.619 0.465
-1.386 0.920 7.335
Pb P Al
2 8 4
Direct
0.901 0.057 0.311
0.057 0.901 0.811
0.381 0.984 0.101
0.327 0.070 0.374
0.738 0.603 0.012
0.603 0.738 0.512
0.070 0.327 0.874
0.984 0.381 0.601
0.516 0.885 0.749
0.885 0.516 0.249
0.710 0.233 0.970
0.410 0.658 0.986
0.233 0.710 0.470
0.658 0.410 0.486
```



Record 2
The following is a DFT calculation (meta-GGA SCAN) of a crystal of Al2PPb relaxed with PBEsol.

Properties
- Magnetic moment: 0.0 μB/f.u.
- Space group: No. 166
- DFT formation energy: -0.12 eV/atom
- Electronic total energy: -0.9385 hartree per atom

The structure in POSCAR format:
```
Al2PPb
1.0
3.610 0.000 0.000
1.805 3.126 0.000
1.805 1.042 7.166
Pb P Al
1 1 2
Direct
0.000 0.000 0.000
0.500 0.500 0.500
0.231 0.231 0.308
0.769 0.769 0.692
```



Record 3
The following is a DFT calculation (meta-GGA SCAN) of a crystal of SrAlPPb2 relaxed with PBEsol.

Properties
- Magnetic moment: 0.0 μB/f.u.
- Space group: No. 123
- DFT formation energy: 0.37 eV/atom
- Electronic total energy: -1.3976 hartree per atom

The structure in POSCAR format:
```
SrAlPPb2
1.0
5.152 0.000 0.000
0.000 5.152 0.000
0.000 0.000 5.943
Pb Sr Al P
2 1 1 1
Direct
0.000 0.500 0.000
0.500 0.000 0.000
0.000 0.000 0.500
0.000 0.000 0.000
0.500 0.500 0.500
```



Record 4
The following is a DFT calculation (meta-GGA SCAN) of a crystal of AlP2PtW relaxed with PBEsol.

Properties
- Magnetic moment: 0.0 μB/f.u.
- Space group: No. 123
- DFT formation energy: 0.68 eV/atom
- Electronic total energy: -1.2129 hartree per atom

The structure in POSCAR format:
```
AlP2PtW
1.0
4.551 0.000 0.000
0.000 4.551 0.000
0.000 0.000 5.013
P W Pt Al
2 1 1 1
Direct
0.000 0.500 0.000
0.500 0.000 0.000
0.000 0.000 0.000
0.000 0.000 0.500
0.500 0.500 0.500
```



Record 5
The following is a DFT calculation (meta-GGA SCAN) of a crystal of AlZnP2Pt relaxed with PBEsol.

Properties
- Magnetic moment: 0.0 μB/f.u.
- Space group: No. 123
- DFT formation energy: 0.94 eV/atom
- Electronic total energy: -0.7906 hartree per atom

The structure in POSCAR format:
```
AlZnP2Pt
1.0
4.446 0.000 0.000
0.000 4.446 0.000
0.000 0.000 4.718
P Zn Al Pt
2 1 1 1
Direct
0.000 0.500 0.000
0.500 0.000 0.000
0.000 0.000 0.000
0.500 0.500 0.500
0.000 0.000 0.500
```



Record 6
The following is a DFT calculation (meta-GGA SCAN) of a crystal of RbAlP relaxed with PBEsol.

Properties
- Magnetic moment: 0.0 μB/f.u.
- Space group: No. 12
- DFT formation energy: -0.58 eV/atom
- Electronic total energy: -0.4975 hartree per atom

The structure in POSCAR format:
```
RbAlP
1.0
3.936 0.000 0.000
1.968 5.335 0.003
1.968 1.184 7.194
P Al Rb
2 2 2
Direct
0.290 0.128 0.292
0.710 0.872 0.708
0.649 0.244 0.458
0.351 0.756 0.542
0.930 0.281 0.860
0.070 0.719 0.140
```



Record 7
The following is a DFT calculation (meta-GGA SCAN) of a crystal of Al2ReP relaxed with PBEsol.

Properties
- Magnetic moment: 0.0 μB/f.u.
- Space group: No. 10
- DFT formation energy: 0.08 eV/atom
- Electronic total energy: -0.8882 hartree per atom

The structure in POSCAR format:
```
Al2ReP
1.0
3.105 0.000 0.000
0.000 4.267 0.036
0.000 -1.432 4.262
Re Al P
1 2 1
Direct
0.000 0.500 0.500
0.000 0.000 0.000
0.500 0.000 0.500
0.500 0.500 0.000
```



Record 8
The following is a DFT calculation (meta-GGA SCAN) of a crystal of AlReP2 relaxed with PBEsol.

Properties
- Magnetic moment: 0.0 μB/f.u.
- Space group: No. 10
- DFT formation energy: 0.18 eV/atom
- Electronic total energy: -0.9089 hartree per atom

The structure in POSCAR format:
```
AlReP2
1.0
-0.765 -0.245 3.003
-2.888 -2.326 -0.925
3.293 -3.678 0.539
Re Al P
1 1 2
Direct
0.500 0.500 0.000
0.000 0.000 0.500
0.000 0.000 0.000
0.500 0.500 0.500
```



Record 9
The following is a DFT calculation (meta-GGA SCAN) of a crystal of AlRe2P relaxed with PBEsol.

Properties
- Magnetic moment: 0.0 μB/f.u.
- Space group: No. 166
- DFT formation energy: -0.03 eV/atom
- Electronic total energy: -1.4743 hartree per atom

The structure in POSCAR format:
```
AlRe2P
1.0
2.837 0.000 0.000
1.419 2.457 0.000
1.419 0.819 7.982
Re Al P
2 1 1
Direct
0.258 0.258 0.226
0.742 0.742 0.774
0.500 0.500 0.500
0.000 0.000 0.000
```



Record 10
The following is a DFT calculation (meta-GGA SCAN) of a crystal of AlRe2P relaxed with PBEsol.

Properties
- Magnetic moment: 0.0 μB/f.u.
- Space group: No. 99
- DFT formation energy: -0.21 eV/atom
- Electronic total energy: -1.4809 hartree per atom

The structure in POSCAR format:
```
AlRe2P
1.0
3.071 0.000 0.000
0.000 3.071 0.000
0.000 0.000 5.701
Re Al P
2 1 1
Direct
0.000 0.000 0.965
0.500 0.500 0.278
0.000 0.000 0.503
0.500 0.500 0.754
```



Record 11
The following is a DFT calculation (meta-GGA SCAN) of a crystal of AlReP2 relaxed with PBEsol.

Properties
- Magnetic moment: 0.0 μB/f.u.
- Space group: No. 38
- DFT formation energy: -0.13 eV/atom
- Electronic total energy: -0.9203 hartree per atom

The structure in POSCAR format:
```
AlReP2
1.0
-2.438 0.912 1.904
-1.316 -2.980 -2.989
0.984 -3.266 2.823
Re Al P
1 1 2
Direct
0.186 0.373 0.000
0.595 0.189 0.500
0.901 0.801 0.000
0.313 0.627 0.500
```



Record 12
The following is a DFT calculation (meta-GGA SCAN) of a crystal of AlReP2 relaxed with PBEsol.

Properties
- Magnetic moment: 0.0 μB/f.u.
- Space group: No. 119
- DFT formation energy: 0.40 eV/atom
- Electronic total energy: -0.9008 hartree per atom

The structure in POSCAR format:
```
AlReP2
1.0
-0.640 2.364 2.804
-2.840 -2.120 1.140
4.154 -2.143 0.282
Re Al P
1 1 2
Direct
0.500 0.500 0.000
0.250 0.750 0.500
0.000 0.000 0.000
0.750 0.250 0.500
```